# YTaSb2

YTaSb2 after structural relaxation (PBE, the Alexandria database).

Computed properties:
* E_form (uncorrected): -0.15 eV per atom
* SG: C2/m
* electronic total energy: -6.795 eV/atom
* distance to the lowest polymorph of the same formula: 163 meV per atom
* M_tot: 0.0000 μB/atom

a = 7.601 Å, b = 4.984 Å, c = 3.758 Å
α = 90.32°, β = 59.88°, γ = 124.98°
Fractional positions:
1 Sb 0.500 0.000 0.500
2 Sb 0.000 0.000 0.000
3 Y 0.500 0.500 0.000
4 Ta 0.000 0.500 0.500